Here is an optimized crystal structure of Sc2GaCuBr from Alexandria via LeMat-Bulk. Energies are from PBE-GGA.

Cell: 4.952 5.156 4.952 Å, 90.00 90.00 90.00°
Atoms (fractional coordinates):
Sc 0.000 0.000 0.500
Sc 0.500 0.000 0.000
Cu 0.500 0.500 0.500
Ga 0.000 0.500 0.000
Br 0.000 0.000 0.000

Calculated values
magnetic moment = 0.0 Bohr magnetons per cell
formation energy without anion corrections = 0.427 eV/atom
calculated total energy = -3.8651 eV per atom